# RhAu2F

RhAu2F after structural relaxation (PBE, Alexandria).

Computed properties:
formation energy (no corrections) = 0.18 eV per atom
space-group type = I-42d

abc: 7.1115 7.1115 5.2976
angles: 90.00 90.00 90.00
Last column: nearest neighbours and their distance in Å.
Fractional coordinates of all 16 atoms:
Rh: 0.0000 0.0000 0.0000  2 F 2.65, 4 Au 2.71
Rh: 0.0000 0.5000 0.2500  2 F 2.65, 4 Au 2.71
Rh: 0.5000 0.0000 0.7500  2 F 2.65, 4 Au 2.71
Rh: 0.5000 0.5000 0.5000  2 F 2.65, 4 Au 2.71
Au: 0.2276 0.2500 0.6250  2 F 2.49, 2 Au 2.67, 2 Rh 2.71
Au: 0.2500 0.7276 0.8750  2 F 2.49, 2 Au 2.67, 2 Rh 2.71
Au: 0.2500 0.7724 0.3750  2 F 2.49, 2 Au 2.67, 2 Rh 2.71
Au: 0.2724 0.2500 0.1250  2 F 2.49, 2 Au 2.67, 2 Rh 2.71
Au: 0.7276 0.7500 0.1250  2 F 2.49, 2 Au 2.67, 2 Rh 2.71
Au: 0.7500 0.2276 0.3750  2 F 2.49, 2 Au 2.67, 2 Rh 2.71
Au: 0.7500 0.2724 0.8750  2 F 2.49, 2 Au 2.67, 2 Rh 2.71
Au: 0.7724 0.7500 0.6250  2 F 2.49, 2 Au 2.67, 2 Rh 2.71
F: 0.0000 0.0000 0.5000  4 Au 2.49, 2 Rh 2.65
F: 0.0000 0.5000 0.7500  4 Au 2.49, 2 Rh 2.65
F: 0.5000 0.0000 0.2500  4 Au 2.49, 2 Rh 2.65
F: 0.5000 0.5000 0.0000  4 Au 2.49, 2 Rh 2.65

---

# Sm2ErHgC

Sm2ErHgC after structural relaxation (PBE, Alexandria).

Computed properties:
energy relative to the elements = -0.3078 eV/atom
space-group type = P4/mmm

abc: 5.0741 5.0741 4.7854
angles: 90.00 90.00 90.00
Last column: nearest neighbours and their distance in Å.
Fractional coordinates of all 5 atoms:
Sm: 0.0000 0.5000 0.0000  2 C 2.54
Sm: 0.5000 0.0000 0.0000  2 C 2.54
Er: 0.0000 0.0000 0.5000  2 C 2.39
Hg: 0.5000 0.5000 0.5000  8 Sm 3.49, 4 Er 3.59
C: 0.0000 0.0000 0.0000  2 Er 2.39, 4 Sm 2.54

---

# ZnMo5

ZnMo5 after structural relaxation (PBE, Alexandria).

Computed properties:
energy relative to the elements = 0.3025 eV/atom
space-group type = F-43m

abc: 5.1923 5.1923 5.1923
angles: 60.00 60.00 60.00
Last column: nearest neighbours and their distance in Å.
Fractional coordinates of all 6 atoms:
Zn: 0.0000 0.0000 0.0000  16 Mo 3.04-3.18
Mo: 0.1236 0.6254 0.6254  6 Mo 2.59-2.61
Mo: 0.2500 0.2500 0.2500  12 Mo 3.05, 4 Zn 3.18
Mo: 0.6254 0.1236 0.6254  6 Mo 2.59-2.61
Mo: 0.6254 0.6254 0.1236  6 Mo 2.59-2.61
Mo: 0.6254 0.6254 0.6254  6 Mo 2.59-2.61

---

# NdSmCoRh

NdSmCoRh after structural relaxation (PBE, Alexandria).

Computed properties:
energy relative to the elements = -0.3205 eV/atom
space-group type = F-43m

abc: 6.9807 6.9807 6.9807
angles: 90.00 90.00 90.00
Last column: nearest neighbours and their distance in Å.
Fractional coordinates of all 16 atoms:
Nd: 0.0000 0.0000 0.0000  4 Co 3.02, 4 Rh 3.02
Nd: 0.0000 0.5000 0.5000  4 Co 3.02, 4 Rh 3.02
Nd: 0.5000 0.0000 0.5000  4 Co 3.02, 4 Rh 3.02
Nd: 0.5000 0.5000 0.0000  4 Co 3.02, 4 Rh 3.02
Sm: 0.0000 0.0000 0.5000  4 Rh 3.02, 4 Co 3.02
Sm: 0.0000 0.5000 0.0000  4 Co 3.02, 4 Rh 3.02
Sm: 0.5000 0.0000 0.0000  4 Co 3.02, 4 Rh 3.02
Sm: 0.5000 0.5000 0.5000  4 Co 3.02, 4 Rh 3.02
Co: 0.2500 0.2500 0.7500  4 Nd 3.02, 4 Sm 3.02
Co: 0.2500 0.7500 0.2500  4 Nd 3.02, 4 Sm 3.02
Co: 0.7500 0.2500 0.2500  4 Nd 3.02, 4 Sm 3.02
Co: 0.7500 0.7500 0.7500  4 Nd 3.02, 4 Sm 3.02
Rh: 0.2500 0.2500 0.2500  4 Nd 3.02, 4 Sm 3.02
Rh: 0.2500 0.7500 0.7500  4 Nd 3.02, 4 Sm 3.02
Rh: 0.7500 0.2500 0.7500  4 Nd 3.02, 4 Sm 3.02
Rh: 0.7500 0.7500 0.2500  4 Nd 3.02, 4 Sm 3.02

---

# InFeSb

InFeSb after structural relaxation (PBE, Alexandria).

Computed properties:
formation energy (no corrections) = 0.22 eV per atom
space-group type = P3m1

abc: 3.3616 3.3616 6.3671
angles: 90.00 90.00 120.00
Last column: nearest neighbours and their distance in Å.
Fractional coordinates of all 3 atoms:
In: 0.0000 0.0000 0.0000  3 Fe 2.74
Fe: 0.3333 0.6667 0.6973  3 Sb 2.59, 3 In 2.74
Sb: 0.6667 0.3333 0.4275  3 Fe 2.59

---

# Ba2Li17Rh3

Ba2Li17Rh3 after structural relaxation (PBE, Alexandria).

Computed properties:
energy relative to the elements = 0.0307 eV/atom
space-group type = R-3m

abc: 7.8516 7.8516 7.8516
angles: 83.63 83.63 83.63
Last column: nearest neighbours and their distance in Å.
Fractional coordinates of all 22 atoms:
Ba: 0.1694 0.1694 0.1694  3 Rh 3.02
Ba: 0.8306 0.8306 0.8306  3 Rh 3.02
Li: 0.0000 0.5000 0.5000  10 Li 2.93-3.23
Li: 0.1641 0.1641 0.6748  1 Rh 2.52
Li: 0.1641 0.6748 0.1641  1 Rh 2.52
Li: 0.2300 0.5000 0.7700  1 Rh 2.41
Li: 0.2300 0.7700 0.5000  1 Rh 2.41
Li: 0.3252 0.8359 0.8359  1 Rh 2.52
Li: 0.4096 0.4096 0.4096  1 Li 2.72
Li: 0.5000 0.0000 0.5000  10 Li 2.93-3.23
Li: 0.5000 0.2300 0.7700  1 Rh 2.41
Li: 0.5000 0.5000 0.0000  10 Li 2.93-3.23
Li: 0.5000 0.7700 0.2300  1 Rh 2.41
Li: 0.5904 0.5904 0.5904  1 Li 2.72
Li: 0.6748 0.1641 0.1641  1 Rh 2.52
Li: 0.7700 0.2300 0.5000  1 Rh 2.41
Li: 0.7700 0.5000 0.2300  1 Rh 2.41
Li: 0.8359 0.3252 0.8359  1 Rh 2.52
Li: 0.8359 0.8359 0.3252  1 Rh 2.52
Rh: 0.0000 0.0000 0.5000  4 Li 2.41-2.52
Rh: 0.0000 0.5000 0.0000  4 Li 2.41-2.52
Rh: 0.5000 0.0000 0.0000  4 Li 2.41-2.52

---

# CePmEuCd

CePmEuCd after structural relaxation (PBE, Alexandria).

Computed properties:
energy relative to the elements = 0.0758 eV/atom
space-group type = F-43m

abc: 7.8808 7.8808 7.8808
angles: 90.00 90.00 90.00
Last column: nearest neighbours and their distance in Å.
Fractional coordinates of all 16 atoms:
Ce: 0.0000 0.0000 0.0000  4 Cd 3.41, 4 Pm 3.41
Ce: 0.0000 0.5000 0.5000  4 Cd 3.41, 4 Pm 3.41
Ce: 0.5000 0.0000 0.5000  4 Cd 3.41, 4 Pm 3.41
Ce: 0.5000 0.5000 0.0000  4 Cd 3.41, 4 Pm 3.41
Pm: 0.2500 0.2500 0.7500  4 Ce 3.41, 4 Eu 3.41
Pm: 0.2500 0.7500 0.2500  4 Ce 3.41, 4 Eu 3.41
Pm: 0.7500 0.2500 0.2500  4 Ce 3.41, 4 Eu 3.41
Pm: 0.7500 0.7500 0.7500  4 Ce 3.41, 4 Eu 3.41
Eu: 0.0000 0.0000 0.5000  4 Cd 3.41, 4 Pm 3.41
Eu: 0.0000 0.5000 0.0000  4 Cd 3.41, 4 Pm 3.41
Eu: 0.5000 0.0000 0.0000  4 Cd 3.41, 4 Pm 3.41
Eu: 0.5000 0.5000 0.5000  4 Cd 3.41, 4 Pm 3.41
Cd: 0.2500 0.2500 0.2500  4 Ce 3.41, 4 Eu 3.41
Cd: 0.2500 0.7500 0.7500  4 Eu 3.41, 4 Ce 3.41
Cd: 0.7500 0.2500 0.7500  4 Eu 3.41, 4 Ce 3.41
Cd: 0.7500 0.7500 0.2500  4 Eu 3.41, 4 Ce 3.41

---

# Sr2PrMg3

Sr2PrMg3 after structural relaxation (PBE, Alexandria).

Computed properties:
energy relative to the elements = -0.0683 eV/atom
space-group type = P4/mmm

abc: 4.0487 4.0487 12.4913
angles: 90.00 90.00 90.00
Last column: nearest neighbours and their distance in Å.
Fractional coordinates of all 6 atoms:
Sr: 0.0000 0.0000 0.1746  8 Mg 3.60-3.63
Sr: 0.0000 0.0000 0.8254  8 Mg 3.60-3.63
Pr: 0.0000 0.0000 0.5000  8 Mg 3.40
Mg: 0.5000 0.5000 0.0000  8 Sr 3.60
Mg: 0.5000 0.5000 0.3536  4 Pr 3.40, 4 Sr 3.63, 1 Mg 3.66
Mg: 0.5000 0.5000 0.6464  4 Pr 3.40, 4 Sr 3.63, 1 Mg 3.66

---

Per-record electronic total energy, eV per atom: -3.7656 -5.0132 -8.9357 -6.3066 -4.8878 -2.6255 -5.3928 -2.2228